The following is a DFT calculation (SCAN) of FeP2Ru at its PBEsol-relaxed geometry.

a = 2.859 Å, b = 2.859 Å, c = 5.584 Å
α = 90.00°, β = 90.00°, γ = 90.00°
Space group P4/mmm (No. 123)
Unique sites:
1 Fe 0.000 0.000 0.000 x1
2 P 0.500 0.500 0.233 x2
3 Ru 0.000 0.000 0.500 x1

Crystal system = tetragonal
Raw total energy = -74.3 eV for the cell shown
Energy above the lowest structure with this stoichiometry = 4.31 kcal/mol of atoms
Energy of formation from the pure elements = -3.17 kcal/mol of atoms
DOS(E_F) = 0.39 states/eV/atom